RbMg3V4O12 | GGA+U | optimized geometry

Magnetic moment, μB per formula unit: 3.0
Uncorrected energy, eV per cell: -403.9
Calculated volume, A^3/atom: 12.831

```
data_RbMg3V4O12
_chemical_formula_sum 'Rb3 Mg9 V12 O36'
_cell_length_a 11.4666
_cell_length_b 11.4666
_cell_length_c 6.7607
_cell_angle_alpha 90.00
_cell_angle_beta 90.00
_cell_angle_gamma 120.00
_space_group_name_H-M_alt 'R 3 2'
_space_group_IT_number 155
_space_group_name_Hall 'R 3 2"'
loop_
_atom_site_label
_atom_site_fract_x
_atom_site_fract_y
_atom_site_fract_z
Rb1 0.0000 0.0000 0.0000
Mg1 0.0000 0.5656 0.0000
V1 0.0000 0.0000 0.5000
V2 0.0000 0.4325 0.5000
O1 0.0000 0.5855 0.5000
O2 0.0000 0.8485 0.5000
O3 0.0657 0.4714 0.8110
```